OsPdSCl2: relaxed, PBE-GGA.

a b c (Å): 4.9309 4.9309 4.3883
angles (deg): 90.00 90.00 90.00
Fractional coordinates of all 5 atoms:
Os  0.0000  0.0000  0.0000
Pd  0.5000  0.5000  0.5000
S  0.0000  0.0000  0.5000
Cl  0.0000  0.5000  0.0000
Cl  0.5000  0.0000  0.0000

Results
* formation energy without anion corrections: 535 meV per atom
* SG: P4/mmm, No. 123